# 1
A geometry-optimized SmGd2Zr structure. Source: Alexandria via LeMat-Bulk, functional PBE-GGA.

```
4
Lattice="4.8994 0.0000 0.0000 0.0000 4.8994 0.0000 0.0000 0.0000 4.9234" Properties=species:S:1:pos:R:3 pbc="T T T"
Sm 0.0000 0.0000 0.0000
Gd 0.0000 2.4497 2.4617
Gd 2.4497 0.0000 2.4617
Zr 2.4497 2.4497 0.0000
```

Calculated values
* total magnetization: 3.5169 μB/atom
* crystal system: tetragonal
* energy of formation from the pure elements: 0.11 eV/atom
* energy: -40.985 eV/f.u.
* calculated volume: 29.5 Å³ per atom

# 2
A geometry-optimized AcNd2Pd structure. Source: Alexandria via LeMat-Bulk, functional PBE-GGA.

```
8
Lattice="3.9911 0.0000 0.0000 0.0000 10.3578 0.0000 -1.9953 0.0000 6.2093" Properties=species:S:1:pos:R:3 pbc="T T T"
Ac 0.0019 2.5894 0.9643
Ac 1.9939 7.7683 5.2450
Nd 0.0019 0.6318 4.4814
Nd 0.0019 4.5471 4.4814
Nd 1.9938 5.8107 1.7279
Nd 1.9938 9.7260 1.7279
Pd -0.0019 7.7683 2.7874
Pd 1.9976 2.5894 3.4218
```

Calculated values
* total magnetization: 0.0000 μB/atom
* crystal system: monoclinic
* energy of formation from the pure elements: -0.40 eV/atom
* energy: -20.420 eV/f.u.
* calculated volume: 32.1 Å³ per atom